ReNiCl, optimized geometry, DFT PBE; ρ = 9.79 g/cm³
1.0
5.751 0.000 0.000
0.000 5.751 0.000
0.000 0.000 5.751
Re Ni Cl
4 4 4
direct
0.000 0.000 0.000 Re
0.000 0.500 0.500 Re
0.500 0.000 0.500 Re
0.500 0.500 0.000 Re
0.250 0.250 0.750 Ni
0.250 0.750 0.250 Ni
0.750 0.250 0.250 Ni
0.750 0.750 0.750 Ni
0.250 0.250 0.250 Cl
0.250 0.750 0.750 Cl
0.750 0.250 0.750 Cl
0.750 0.750 0.250 Cl

ReNiCl, optimized geometry, DFT PBE; ρ = 11.14 g/cm³
1.0
4.216 0.000 0.000
-2.108 3.652 0.000
0.000 0.000 2.715
Re Ni Cl
1 1 1
direct
0.000 0.000 0.000 Re
0.667 0.333 0.502 Ni
0.333 0.667 0.998 Cl

ReNi2Cl, optimized geometry, DFT PBE; ρ = 10.05 g/cm³
1.0
2.746 0.000 0.000
0.000 2.759 0.000
0.000 0.000 7.394
Re Ni Cl
1 2 1
direct
0.000 0.000 0.000 Re
0.500 0.500 0.233 Ni
0.500 0.500 0.767 Ni
0.500 0.000 0.500 Cl

ReNiCl3, optimized geometry, DFT PBE; ρ = 5.65 g/cm³
1.0
4.690 0.000 0.000
0.000 4.690 0.000
0.000 0.000 4.690
Re Ni Cl
1 1 3
direct
0.000 0.000 0.000 Re
0.500 0.500 0.500 Ni
0.000 0.500 0.500 Cl
0.500 0.000 0.500 Cl
0.500 0.500 0.000 Cl

ReNi2Cl, optimized geometry, DFT PBE; ρ = 10.49 g/cm³
1.0
2.813 0.000 0.000
-1.406 2.436 0.000
0.000 0.000 23.496
Re Ni Cl
3 6 3
direct
0.000 0.000 0.000 Re
0.333 0.667 0.667 Re
0.667 0.333 0.333 Re
0.000 0.000 0.251 Ni
0.000 0.000 0.502 Ni
0.333 0.667 0.169 Ni
0.333 0.667 0.918 Ni
0.667 0.333 0.585 Ni
0.667 0.333 0.835 Ni
0.000 0.000 0.755 Cl
0.333 0.667 0.422 Cl
0.667 0.333 0.088 Cl

ReNiCl, optimized geometry, DFT PBE; ρ = 8.96 g/cm³
1.0
5.923 0.000 0.000
0.000 5.923 0.000
0.000 0.000 5.923
Re Ni Cl
4 4 4
direct
0.000 0.000 0.000 Re
0.000 0.500 0.500 Re
0.500 0.000 0.500 Re
0.500 0.500 0.000 Re
0.250 0.250 0.750 Ni
0.250 0.750 0.250 Ni
0.750 0.250 0.250 Ni
0.750 0.750 0.750 Ni
0.000 0.000 0.500 Cl
0.000 0.500 0.000 Cl
0.500 0.000 0.000 Cl
0.500 0.500 0.500 Cl

no.,relative energy among the computed polymorphs (kJ/mol of atoms),density of states at the Fermi level (states/eV/cell)
1,59.1,4.7
2,43.0,3.6
3,0.0,3.6
4,0.0,2.8
5,27.1,17.5
6,114.8,18.4